{"formula": "TbEr8Bi6", "functional": "PBE", "state": "relaxed", "ef_ev_per_atom": -0.478, "total_magnetization_mub_per_cell": 0.00, "lattice_angstrom": [[7.581, 0.000, 0.000], [3.791, 6.566, 0.000], [3.791, 2.189, 9.800]], "species": ["Bi", "Bi", "Bi", "Bi", "Bi", "Bi", "Er", "Er", "Er", "Er", "Er", "Er", "Er", "Er", "Tb"], "fractional_positions": [[0.938, 0.273, 0.188], [0.601, 0.938, 0.188], [0.273, 0.601, 0.188], [0.399, 0.062, 0.812], [0.062, 0.727, 0.812], [0.727, 0.399, 0.812], [0.452, 0.791, 0.634], [0.333, 0.333, 0.000], [0.877, 0.548, 0.366], [0.667, 0.667, 0.000], [0.791, 0.123, 0.634], [0.123, 0.452, 0.634], [0.209, 0.877, 0.366], [0.548, 0.209, 0.366], [0.000, 0.000, 0.000]]}

***

{"formula": "Ge3IBr", "functional": "PBE", "state": "relaxed", "polymorph_energy_ev_per_fu": 0.62, "formation_energy_uncorrected_ev_per_atom": 1.05, "total_magnetization_mub_per_cell": 0.00, "lattice_angstrom": [[-2.552, 2.074, -4.545], [-4.333, -3.460, 0.854], [-2.487, 3.899, 3.176]], "species": ["I", "Ge", "Ge", "Ge", "Br"], "fractional_positions": [[0.000, 0.000, 0.000], [0.000, 0.500, 0.000], [0.500, 0.000, 0.000], [0.000, 0.000, 0.500], [0.500, 0.500, 0.500]]}

***

{"formula": "SrTl2SiTe4", "functional": "PBE", "state": "relaxed", "formation_energy_uncorrected_ev_per_atom": -0.39, "total_magnetization_mub_per_cell": 0.00, "lattice_angstrom": [[9.110, 0.034, -0.281], [0.028, 9.110, -0.281], [-4.697, -4.700, 6.749]], "species": ["Te", "Te", "Te", "Te", "Te", "Te", "Te", "Te", "Tl", "Tl", "Tl", "Tl", "Sr", "Sr", "Si", "Si"], "fractional_positions": [[0.251, 0.250, 0.048], [0.277, 0.721, 0.499], [0.749, 0.750, 0.952], [0.723, 0.279, 0.501], [0.221, 0.777, 0.999], [0.779, 0.223, 0.001], [0.250, 0.249, 0.452], [0.750, 0.751, 0.548], [0.500, 0.000, 0.500], [0.500, 0.500, 0.000], [0.500, 0.000, 0.000], [0.000, 0.000, 0.500], [0.000, 0.500, 0.500], [0.000, 0.500, 0.000], [0.000, 0.000, 0.000], [0.500, 0.500, 0.500]]}

***

{"formula": "CsHfZr3", "functional": "PBE", "state": "relaxed", "ef_ev_per_atom": 1.253, "polymorph_energy_ev_per_fu": 0.00, "total_magnetization_mub_per_cell": 0.00, "lattice_angstrom": [[5.454, 0.000, 0.000], [0.000, 5.454, 0.000], [0.000, 0.000, 5.454]], "species": ["Zr", "Zr", "Zr", "Cs", "Hf"], "fractional_positions": [[0.500, 0.000, 0.000], [0.000, 0.500, 0.000], [0.000, 0.000, 0.500], [0.500, 0.500, 0.500], [0.000, 0.000, 0.000]]}

***

{"formula": "KAsWCl2", "functional": "PBE", "state": "relaxed", "formation_energy_uncorrected_ev_per_atom": 0.53, "total_magnetization_mub_per_cell": 3.13, "lattice_angstrom": [[-0.284, 3.425, 3.159], [-7.537, -1.099, 0.515], [0.686, -3.100, 3.422]], "species": ["Cl", "Cl", "K", "As", "W"], "fractional_positions": [[0.000, 0.000, 0.500], [0.500, 0.000, 0.000], [0.000, 0.500, 0.000], [0.500, 0.500, 0.500], [0.000, 0.000, 0.000]]}

***

{"formula": "KRbInPb", "functional": "PBE", "state": "relaxed", "ef_ev_per_atom": -0.053, "total_magnetization_mub_per_cell": 0.00, "lattice_angstrom": [[5.916, 0.000, 0.000], [2.958, 5.123, 0.000], [2.958, 1.708, 4.830]], "species": ["Pb", "Rb", "In", "K"], "fractional_positions": [[0.000, 0.000, 0.000], [0.500, 0.500, 0.500], [0.250, 0.250, 0.250], [0.750, 0.750, 0.750]]}

***

{"formula": "Pr12Sm2Dy", "functional": "PBE", "state": "relaxed", "ef_ev_per_atom": 0.310, "total_magnetization_mub_per_cell": 0.00, "lattice_angstrom": [[-4.091, -4.176, 3.164], [1.122, -4.620, -4.646], [19.826, -9.006, 13.746]], "species": ["Pr", "Pr", "Pr", "Pr", "Pr", "Pr", "Pr", "Pr", "Pr", "Pr", "Pr", "Pr", "Pr", "Pr", "Pr", "Pr", "Pr", "Pr", "Pr", "Pr", "Pr", "Pr", "Pr", "Pr", "Sm", "Sm", "Sm", "Sm", "Dy", "Dy"], "fractional_positions": [[0.000, 0.000, 0.663], [0.184, 0.684, 0.113], [0.168, 0.332, 0.438], [0.332, 0.832, 0.438], [0.000, 0.000, 0.214], [0.500, 0.500, 0.214], [0.684, 0.184, 0.887], [0.316, 0.184, 0.113], [0.816, 0.316, 0.113], [0.684, 0.816, 0.113], [0.668, 0.832, 0.562], [0.832, 0.332, 0.562], [0.168, 0.668, 0.562], [0.500, 0.500, 0.337], [0.184, 0.316, 0.887], [0.816, 0.684, 0.887], [0.832, 0.668, 0.438], [0.500, 0.500, 0.663], [0.316, 0.816, 0.887], [0.668, 0.168, 0.438], [0.332, 0.168, 0.562], [0.000, 0.000, 0.337], [0.000, 0.000, 0.786], [0.500, 0.500, 0.786], [0.000, 0.500, 0.269], [0.500, 0.000, 0.731], [0.500, 0.000, 0.269], [0.000, 0.500, 0.731], [0.000, 0.500, 0.000], [0.500, 0.000, 0.000]]}

***

{"formula": "Sc2TiAs", "functional": "PBE", "state": "relaxed", "ef_ev_per_atom": 0.083, "total_magnetization_mub_per_cell": 0.00, "lattice_angstrom": [[1.818, 0.000, 10.141], [-0.909, 1.574, 10.141], [-0.909, -1.574, 10.141]], "species": ["Sc", "Sc", "Ti", "As"], "fractional_positions": [[0.088, 0.088, 0.088], [0.912, 0.912, 0.912], [0.500, 0.500, 0.500], [0.000, 0.000, 0.000]]}

***

{"formula": "NaPaAg2S4", "functional": "PBE", "state": "relaxed", "formation_energy_uncorrected_ev_per_atom": -0.79, "total_magnetization_mub_per_cell": 0.00, "lattice_angstrom": [[6.884, 0.000, 0.000], [3.442, 5.240, -0.178], [3.442, 0.252, 5.237]], "species": ["S", "S", "S", "S", "Na", "Pa", "Ag", "Ag"], "fractional_positions": [[0.080, 0.905, 0.518], [0.920, 0.482, 0.095], [0.497, 0.518, 0.905], [0.503, 0.095, 0.482], [0.000, 0.000, 0.000], [0.500, 0.500, 0.500], [0.196, 0.304, 0.304], [0.804, 0.696, 0.696]]}

***

{"formula": "LiHgPt2", "functional": "PBE", "state": "relaxed", "ef_ev_per_atom": -0.326, "total_magnetization_mub_per_cell": 0.00, "lattice_angstrom": [[3.981, 0.000, 0.000], [0.000, 3.986, 0.000], [0.000, 0.000, 4.061]], "species": ["Hg", "Pt", "Pt", "Li"], "fractional_positions": [[0.500, 0.000, 0.500], [0.000, 0.000, 0.000], [0.500, 0.500, 0.000], [0.000, 0.500, 0.500]]}

***

{"formula": "ScHgCl", "functional": "PBE", "state": "relaxed", "polymorph_energy_ev_per_fu": 2.01, "formation_energy_uncorrected_ev_per_atom": -0.25, "total_magnetization_mub_per_cell": 0.00, "lattice_angstrom": [[4.699, 0.000, 0.000], [2.349, 4.069, 0.000], [2.349, 1.356, 3.836]], "species": ["Hg", "Cl", "Sc"], "fractional_positions": [[0.000, 0.000, 0.000], [0.750, 0.750, 0.750], [0.500, 0.500, 0.500]]}

***

{"formula": "LaNbH", "functional": "PBE", "state": "relaxed", "polymorph_energy_ev_per_fu": 0.42, "total_magnetization_mub_per_cell": 0.00, "lattice_angstrom": [[-0.402, 1.279, -2.879], [-0.943, -2.818, -1.120], [-5.097, 1.210, 1.249]], "species": ["Nb", "H", "La"], "fractional_positions": [[0.000, 0.000, 0.198], [0.000, 0.000, 0.834], [0.500, 0.500, 0.694]]}

***

{"formula": "K3ErTa2O8", "functional": "PBE", "state": "relaxed", "formation_energy_uncorrected_ev_per_atom": -2.70, "total_magnetization_mub_per_cell": 0.00, "lattice_angstrom": [[6.162, 0.000, 0.000], [-3.081, 5.336, 0.000], [0.000, 0.000, 7.739]], "species": ["Ta", "Ta", "O", "O", "O", "O", "O", "O", "O", "O", "Er", "K", "K", "K"], "fractional_positions": [[0.333, 0.667, 0.236], [0.667, 0.333, 0.764], [0.333, 0.667, 0.001], [0.662, 0.831, 0.326], [0.169, 0.831, 0.326], [0.831, 0.169, 0.674], [0.667, 0.333, 0.999], [0.169, 0.338, 0.326], [0.338, 0.169, 0.674], [0.831, 0.662, 0.674], [0.000, 0.000, 0.500], [0.667, 0.333, 0.323], [0.000, 0.000, 0.000], [0.333, 0.667, 0.677]]}

***

{"formula": "Sc2TaCr", "functional": "PBE", "state": "relaxed", "ef_ev_per_atom": 0.412, "polymorph_energy_ev_per_fu": 1.16, "total_magnetization_mub_per_cell": 0.00, "lattice_angstrom": [[-1.411, 0.666, -2.361], [1.606, -1.808, -1.470], [-6.029, -6.740, 1.702]], "species": ["Sc", "Sc", "Cr", "Ta"], "fractional_positions": [[0.000, 0.000, 0.520], [0.000, 0.000, 0.980], [0.500, 0.500, 0.750], [0.500, 0.500, 0.250]]}

***

{"formula": "Tl2Cd2InHg4", "functional": "PBE", "state": "relaxed", "ef_ev_per_atom": 0.010, "total_magnetization_mub_per_cell": 0.00, "lattice_angstrom": [[-2.813, -1.307, 1.958], [5.975, -4.184, 2.356], [0.751, 6.961, 5.727]], "species": ["Cd", "Cd", "Tl", "Tl", "In", "Hg", "Hg", "Hg", "Hg"], "fractional_positions": [[0.335, 0.670, 0.058], [0.665, 0.330, 0.942], [0.149, 0.299, 0.590], [0.851, 0.701, 0.410], [0.000, 0.000, 0.000], [0.820, 0.640, 0.757], [0.486, 0.972, 0.690], [0.180, 0.360, 0.243], [0.514, 0.028, 0.310]]}

***

{"formula": "LiInSn", "functional": "PBE", "state": "relaxed", "ef_ev_per_atom": -0.187, "total_magnetization_mub_per_cell": 0.00, "lattice_angstrom": [[-1.937, 1.607, -5.002], [4.174, -1.635, 0.009], [-2.295, -6.094, 1.118]], "species": ["Sn", "Sn", "Li", "Li", "In", "In"], "fractional_positions": [[0.500, 0.500, 0.500], [0.500, 0.500, 0.000], [0.172, 0.841, 0.670], [0.828, 0.159, 0.330], [0.165, 0.826, 0.181], [0.835, 0.174, 0.819]]}

***

{"formula": "Ho2TmBi2Te2", "functional": "PBE", "state": "relaxed", "formation_energy_uncorrected_ev_per_atom": -0.50, "total_magnetization_mub_per_cell": 0.00, "lattice_angstrom": [[5.822, 0.000, 0.000], [0.000, 5.822, 0.000], [-2.911, -2.911, 7.556]], "species": ["Bi", "Bi", "Ho", "Ho", "Te", "Te", "Tm"], "fractional_positions": [[0.000, 0.500, 0.000], [0.500, 0.000, 0.000], [0.386, 0.386, 0.772], [0.614, 0.614, 0.228], [0.197, 0.197, 0.394], [0.803, 0.803, 0.606], [0.000, 0.000, 0.000]]}

***

{"formula": "ScTa2Co", "functional": "PBE", "state": "relaxed", "ef_ev_per_atom": 0.201, "polymorph_energy_ev_per_fu": 1.01, "total_magnetization_mub_per_cell": 0.00, "lattice_angstrom": [[4.652, 0.000, 0.000], [0.000, 3.849, 0.000], [0.000, 0.000, 3.849]], "species": ["Co", "Sc", "Ta", "Ta"], "fractional_positions": [[0.500, 0.500, 0.000], [0.500, 0.000, 0.500], [0.000, 0.000, 0.000], [0.000, 0.500, 0.500]]}

***

{"formula": "Al2Cr2Sn", "functional": "PBE", "state": "relaxed", "ef_ev_per_atom": 0.168, "polymorph_energy_ev_per_fu": 0.00, "total_magnetization_mub_per_cell": 0.00, "lattice_angstrom": [[-6.004, 0.193, 2.333], [1.416, -4.814, 4.043], [1.136, 2.609, 2.708]], "species": ["Al", "Al", "Al", "Al", "Cr", "Cr", "Cr", "Cr", "Sn", "Sn"], "fractional_positions": [[0.844, 0.344, 0.500], [0.344, 0.156, 0.500], [0.156, 0.656, 0.500], [0.656, 0.844, 0.500], [0.883, 0.617, 0.000], [0.383, 0.883, 0.000], [0.617, 0.117, 0.000], [0.117, 0.383, 0.000], [0.500, 0.500, 0.000], [0.000, 0.000, 0.000]]}

***

{"formula": "TaRuN2O", "functional": "PBE", "state": "relaxed", "formation_energy_uncorrected_ev_per_atom": 0.63, "total_magnetization_mub_per_cell": 0.00, "lattice_angstrom": [[-0.007, 3.626, 1.234], [-3.526, -0.487, 1.413], [1.496, -1.135, 3.341]], "species": ["Ru", "N", "N", "Ta", "O"], "fractional_positions": [[0.000, 0.000, 0.000], [0.000, 0.500, 0.000], [0.500, 0.000, 0.000], [0.500, 0.500, 0.500], [0.000, 0.000, 0.500]]}

***

{"formula": "SnAs2Se2", "functional": "PBE", "state": "relaxed", "polymorph_energy_ev_per_fu": 0.00, "formation_energy_uncorrected_ev_per_atom": 0.03, "total_magnetization_mub_per_cell": 0.00, "lattice_angstrom": [[8.537, 0.000, 0.000], [0.000, 8.537, 0.000], [0.000, 0.000, 3.523]], "species": ["As", "As", "As", "As", "Se", "Se", "Se", "Se", "Sn", "Sn"], "fractional_positions": [[0.282, 0.782, 0.000], [0.718, 0.218, 0.000], [0.218, 0.282, 0.000], [0.782, 0.718, 0.000], [0.140, 0.640, 0.500], [0.360, 0.140, 0.500], [0.860, 0.360, 0.500], [0.640, 0.860, 0.500], [0.500, 0.500, 0.000], [0.000, 0.000, 0.000]]}